Density functional theory data (PBE) for a geometry-optimized Tb2PmMgC structure.

Lattice parameters (Å, degrees): 4.9745 4.9745 5.1995 90.00 90.00 90.00
Positions (direct):
Tb 0.0000 0.5000 0.0000
Tb 0.5000 0.0000 0.0000
Pm 0.0000 0.0000 0.5000
Mg 0.5000 0.5000 0.5000
C 0.0000 0.0000 0.0000

Output
**Space group**: P4/mmm, No. 123
**Formation enthalpy at 0 K**: -0.13 eV/atom
**Uncorrected energy**: -5.10 eV/atom